P | # TlSb2TeAu

A relaxed structure of TlSb2TeAu (PBE-GGA, Alexandria via LeMat-Bulk).

```
5
Lattice="5.6875 0.0000 0.0000 0.0000 5.6875 0.0000 0.0000 0.0000 5.7235" Properties=species:S:1:pos:R:3 pbc="T T T"
Te 0.0000 0.0000 2.8618
Sb 0.0000 2.8437 0.0000
Sb 2.8437 0.0000 0.0000
Tl 0.0000 0.0000 0.0000
Au 2.8437 2.8437 2.8618
```

***

Q | # TlSb2TeAu

A relaxed structure of TlSb2TeAu (PBE-GGA, Alexandria via LeMat-Bulk).

```
5
Lattice="-1.3460 1.5838 5.0265 -5.2632 -0.6713 -1.1978 0.2844 -5.4034 1.7787" Properties=species:S:1:pos:R:3 pbc="T T T"
Sb -0.6730 0.7919 2.5133
Sb -2.6316 -0.3356 -0.5989
Te 0.1422 -2.7017 0.8894
Tl -3.1624 -2.2455 2.8037
Au 0.0000 0.0000 0.0000
```

***

Which of them is most stable, and which least? Most stable: Q; least stable: P.

***

P | # TlSbTe2Au

A relaxed structure of TlSbTe2Au (PBE-GGA, Alexandria via LeMat-Bulk).

```
5
Lattice="-1.4163 1.5400 -5.3624 -4.1688 -3.9689 -0.0387 -3.6580 3.8221 2.0638" Properties=species:S:1:pos:R:3 pbc="T T T"
Te -0.7081 0.7700 -2.6812
Te -2.0844 -1.9844 -0.0194
Au -4.6215 0.6966 -1.6687
Tl 0.0000 0.0000 0.0000
Sb -1.8290 1.9111 1.0319
```

***

Q | # TlSbTe2Au

A relaxed structure of TlSbTe2Au (PBE-GGA, Alexandria via LeMat-Bulk).

```
5
Lattice="5.6947 0.0000 0.0000 0.0000 5.6947 0.0000 0.0000 0.0000 5.2625" Properties=species:S:1:pos:R:3 pbc="T T T"
Sb 0.0000 0.0000 2.6313
Te 2.8473 0.0000 0.0000
Te 0.0000 2.8473 0.0000
Tl 2.8473 2.8473 2.6313
Au 0.0000 0.0000 0.0000
```

***

Which of them is most stable, and which least? Most stable: Q; least stable: P.

***

P | # Sb2TeWAu

A relaxed structure of Sb2TeWAu (PBE-GGA, Alexandria via LeMat-Bulk).

```
5
Lattice="5.2682 0.0000 0.0000 0.0000 5.2682 0.0000 0.0000 0.0000 5.4083" Properties=species:S:1:pos:R:3 pbc="T T T"
Au 0.0000 0.0000 0.0000
W 2.6341 2.6341 2.7042
Sb 0.0000 2.6341 0.0000
Sb 2.6341 0.0000 0.0000
Te 0.0000 0.0000 2.7042
```

***

Q | # Sb2TeWAu

A relaxed structure of Sb2TeWAu (PBE-GGA, Alexandria via LeMat-Bulk).

```
5
Lattice="5.2748 0.0000 0.0000 0.0000 5.2748 0.0000 0.0000 0.0000 5.1814" Properties=species:S:1:pos:R:3 pbc="T T T"
Sb 0.0000 2.6374 0.0000
Sb 2.6374 0.0000 0.0000
Au 2.6374 2.6374 2.5907
W 0.0000 0.0000 0.0000
Te 0.0000 0.0000 2.5907
```

***

Which of them is most stable, and which least? Most stable: Q; least stable: P.

***

P | # ZnSbTe2Au

A relaxed structure of ZnSbTe2Au (PBE-GGA, Alexandria via LeMat-Bulk).

```
5
Lattice="5.5586 0.0000 0.0000 0.0000 5.5586 0.0000 0.0000 0.0000 5.3162" Properties=species:S:1:pos:R:3 pbc="T T T"
Au 0.0000 0.0000 0.0000
Te 0.0000 2.7793 0.0000
Te 2.7793 0.0000 0.0000
Zn 2.7793 2.7793 2.6581
Sb 0.0000 0.0000 2.6581
```

***

Q | # ZnSbTe2Au

A relaxed structure of ZnSbTe2Au (PBE-GGA, Alexandria via LeMat-Bulk).

```
5
Lattice="-1.7872 4.0640 -2.9376 -3.8449 -3.1126 -1.9668 -3.0805 1.3985 3.8088" Properties=species:S:1:pos:R:3 pbc="T T T"
Te -0.8936 2.0320 -1.4688
Te -1.9224 -1.5563 -0.9834
Au -4.3563 1.1749 -0.5478
Sb -1.5402 0.6992 1.9044
Zn 0.0000 0.0000 0.0000
```

***

Which of them is most stable, and which least? Most stable: P; least stable: Q.

***

P | # ZrSb2TeAu

A relaxed structure of ZrSb2TeAu (PBE-GGA, Alexandria via LeMat-Bulk).

```
5
Lattice="5.5497 0.0000 0.0000 0.0000 5.5497 0.0000 0.0000 0.0000 5.4649" Properties=species:S:1:pos:R:3 pbc="T T T"
Te 0.0000 0.0000 2.7325
Sb 2.7749 0.0000 0.0000
Sb 0.0000 2.7749 0.0000
Zr 0.0000 0.0000 0.0000
Au 2.7749 2.7749 2.7325
```

***

Q | # ZrSb2TeAu

A relaxed structure of ZrSb2TeAu (PBE-GGA, Alexandria via LeMat-Bulk).

```
5
Lattice="-4.0056 -3.1347 1.4149 2.9695 -2.0567 3.8503 -1.7756 3.8042 3.4015" Properties=species:S:1:pos:R:3 pbc="T T T"
Zr -1.4058 -0.6936 4.3333
Sb -2.0028 -1.5674 0.7074
Sb 1.4848 -1.0284 1.9252
Te -0.8878 1.9021 1.7007
Au 0.0000 0.0000 0.0000
```

***

Which of them is most stable, and which least? Most stable: P; least stable: Q.

***

P | # Ti2SbAu2

A relaxed structure of Ti2SbAu2 (PBE-GGA, Alexandria via LeMat-Bulk).

```
5
Lattice="4.1817 0.0000 0.0000 0.0000 4.1817 0.0000 2.0908 2.0908 6.0692" Properties=species:S:1:pos:R:3 pbc="T T T"
Ti 4.1817 2.0908 3.0346
Ti 2.0908 4.1817 3.0346
Au 2.0908 2.0908 1.3488
Au 4.1817 4.1817 4.7204
Sb 0.0000 0.0000 0.0000
```

***

Q | # Ti2SbAu2

A relaxed structure of Ti2SbAu2 (PBE-GGA, Alexandria via LeMat-Bulk).

```
10
Lattice="7.8818 0.0000 0.0000 0.0000 7.8818 0.0000 0.0000 0.0000 3.0994" Properties=species:S:1:pos:R:3 pbc="T T T"
Sb 3.9409 3.9409 0.0000
Sb 0.0000 0.0000 0.0000
Au 1.0141 2.9268 0.0000
Au 6.8677 4.9550 0.0000
Au 4.9550 1.0141 0.0000
Au 2.9268 6.8677 0.0000
Ti 6.5817 2.6408 1.5497
Ti 2.6408 1.3001 1.5497
Ti 1.3001 5.2410 1.5497
Ti 5.2410 6.5817 1.5497
```

***

Which of them is most stable, and which least? Most stable: Q; least stable: P.

***

P | # TiSbAu3

A relaxed structure of TiSbAu3 (PBE-GGA, Alexandria via LeMat-Bulk).

```
5
Lattice="-1.4944 4.1587 -2.3194 -4.7266 -1.0007 1.2511 0.5775 2.5713 4.2382" Properties=species:S:1:pos:R:3 pbc="T T T"
Sb -2.8218 2.8647 1.5850
Au -2.3633 -0.5003 0.6256
Au -0.7472 2.0793 -1.1597
Au 0.2887 1.2857 2.1191
Ti 0.0000 0.0000 0.0000
```

***

Q | # TiSbAu3

A relaxed structure of TiSbAu3 (PBE-GGA, Alexandria via LeMat-Bulk).

```
5
Lattice="-3.6955 -2.0288 2.9133 3.0142 0.4286 4.1220 -1.8756 4.6862 0.8842" Properties=species:S:1:pos:R:3 pbc="T T T"
Au 1.5071 0.2143 2.0610
Au -1.8478 -1.0144 1.4567
Au -0.9378 2.3431 0.4421
Ti -1.2784 1.5430 3.9598
Sb 0.0000 0.0000 0.0000
```

***

Which of them is most stable, and which least? Most stable: P; least stable: Q.

***

P | # Ti3SbAu

A relaxed structure of Ti3SbAu (PBE-GGA, Alexandria via LeMat-Bulk).

```
10
Lattice="-2.3420 -1.7003 4.3797 5.5134 -3.3065 1.6645 -0.8229 6.2795 1.9979" Properties=species:S:1:pos:R:3 pbc="T T T"
Ti -1.2932 3.0586 5.2150
Ti 3.3147 0.6774 3.6085
Ti 0.8677 1.7577 5.8654
Ti 3.6418 -1.7859 2.8271
Ti -0.9661 0.5954 4.4336
Ti 1.4809 -0.4849 2.1767
Au 0.0000 0.0000 0.0000
Au -1.1710 -0.8502 2.1898
Sb 1.6443 -1.3855 5.0604
Sb 0.7043 2.6583 2.9817
```

***

Q | # Ti3SbAu

A relaxed structure of Ti3SbAu (PBE-GGA, Alexandria via LeMat-Bulk).

```
5
Lattice="-4.3715 -0.1722 2.1847 -1.9636 -1.8566 -4.0755 0.9730 -4.5206 1.5906" Properties=species:S:1:pos:R:3 pbc="T T T"
Ti 0.4865 -2.2603 0.7953
Ti -2.1858 -0.0861 1.0923
Ti -0.9818 -0.9283 -2.0378
Sb -2.6811 -3.2747 -0.1502
Au 0.0000 0.0000 0.0000
```

***

Which of them is most stable, and which least? Most stable: P; least stable: Q.

***

P | # TlSb2Au

A relaxed structure of TlSb2Au (PBE-GGA, Alexandria via LeMat-Bulk).

```
4
Lattice="4.3406 0.0000 0.0000 0.0000 5.2896 0.2000 0.0000 -2.0778 4.8693" Properties=species:S:1:pos:R:3 pbc="T T T"
Sb 0.0000 1.2377 2.7680
Sb 0.0000 -1.7095 4.6359
Tl 2.1703 3.4478 1.3673
Au 2.1703 -0.2359 3.7020
```

***

Q | # TlSb2Au

A relaxed structure of TlSb2Au (PBE-GGA, Alexandria via LeMat-Bulk).

```
4
Lattice="6.5548 0.0248 0.0738 -2.8442 5.1315 -0.0679 0.8664 1.0270 3.0530" Properties=species:S:1:pos:R:3 pbc="T T T"
Sb 0.0000 0.0000 0.0000
Sb 3.7106 0.5259 1.5634
Au 1.8553 2.5782 0.0029
Tl -0.9889 3.0792 1.4925
```

***

Which of them is most stable, and which least? Most stable: P; least stable: Q.

***

P | # TlSb2Au

A relaxed structure of TlSb2Au (PBE-GGA, Alexandria via LeMat-Bulk).

```
4
Lattice="-2.7487 5.8003 -0.4090 -2.1084 2.4802 -5.5470 -0.3296 -5.4135 3.4571" Properties=species:S:1:pos:R:3 pbc="T T T"
Sb -2.4286 4.1403 -2.9780
Sb 0.0000 0.0000 0.0000
Au -2.7534 2.2635 0.0350
Tl -2.4333 0.6035 -2.5340
```

***

Q | # TlSb2Au

A relaxed structure of TlSb2Au (PBE-GGA, Alexandria via LeMat-Bulk).

```
4
Lattice="0.0000 3.7088 3.7088 3.7088 0.0000 3.7088 3.7088 3.7088 0.0000" Properties=species:S:1:pos:R:3 pbc="T T T"
Sb 5.5632 5.5632 5.5632
Sb 1.8544 1.8544 1.8544
Au 0.0000 0.0000 0.0000
Tl 3.7088 3.7088 3.7088
```

***

R | # TlSb2Au

A relaxed structure of TlSb2Au (PBE-GGA, Alexandria via LeMat-Bulk).

```
4
Lattice="3.3361 0.0221 0.0000 -0.0181 3.3361 0.0000 0.0000 0.0000 9.4510" Properties=species:S:1:pos:R:3 pbc="T T T"
Au 1.6590 1.6791 7.2930
Sb 0.0000 0.0000 9.0649
Sb 1.6590 1.6791 2.2678
Tl 0.0000 0.0000 5.0017
```

***

S | # TlSb2Au

A relaxed structure of TlSb2Au (PBE-GGA, Alexandria via LeMat-Bulk).

```
4
Lattice="6.0738 -0.3516 0.0000 -2.3356 5.6178 0.0000 0.0000 0.0000 3.1215" Properties=species:S:1:pos:R:3 pbc="T T T"
Au -1.1678 2.8089 1.5607
Sb 1.8691 2.6331 0.0000
Sb 0.0000 0.0000 0.0000
Tl 3.0369 -0.1758 1.5607
```

***

Which of them is most stable, and which least? Most stable: R; least stable: Q.

***

P | # TlSb2Au

A relaxed structure of TlSb2Au (PBE-GGA, Alexandria via LeMat-Bulk).

```
4
Lattice="6.0319 0.1577 0.0056 4.8722 3.5595 0.0056 2.1887 0.7461 5.4206" Properties=species:S:1:pos:R:3 pbc="T T T"
Au 3.2732 1.1158 1.3579
Sb 6.8097 2.3214 2.2665
Sb 10.6408 3.6274 0.4605
Tl 9.8196 3.3475 4.0738
```

***

Q | # TlSb2Au

A relaxed structure of TlSb2Au (PBE-GGA, Alexandria via LeMat-Bulk).

```
4
Lattice="-1.4818 2.8255 -4.2237 -3.5906 -1.9528 -3.3635 -4.8526 2.1044 -0.2066" Properties=species:S:1:pos:R:3 pbc="T T T"
Sb 0.0000 0.0000 0.0000
Sb -7.4438 2.2329 -5.8453
Au -4.9625 1.4886 -3.8969
Tl -2.4813 0.7443 -1.9484
```

***

R | # TlSb2Au

A relaxed structure of TlSb2Au (PBE-GGA, Alexandria via LeMat-Bulk).

```
4
Lattice="-4.3712 8.4345 -3.4620 -5.2909 6.1532 -6.0314 -7.2359 6.3645 -3.0608" Properties=species:S:1:pos:R:3 pbc="T T T"
Au -12.6735 15.7141 -9.4156
Sb -0.2548 0.3160 -0.1893
Sb -8.1942 10.1601 -6.0877
Tl -4.2245 5.2380 -3.1385
```

***

S | # TlSb2Au

A relaxed structure of TlSb2Au (PBE-GGA, Alexandria via LeMat-Bulk).

```
4
Lattice="-3.9960 1.3553 5.4691 -5.3708 -1.3432 4.1310 0.7687 -2.9161 5.0911" Properties=species:S:1:pos:R:3 pbc="T T T"
Tl -4.8880 -1.4165 7.8792
Sb -6.1266 -2.2482 10.8290
Sb -8.3933 -0.6322 9.8991
Au -2.8561 -0.0471 3.0295
```

***

Which of them is most stable, and which least? Most stable: S; least stable: Q.

***

P | # TlSb2Au

A relaxed structure of TlSb2Au (PBE-GGA, Alexandria via LeMat-Bulk).

```
4
Lattice="-0.7161 3.8092 2.0076 -4.9514 -0.7675 -0.3098 -1.3783 -2.7088 4.6482" Properties=species:S:1:pos:R:3 pbc="T T T"
Sb -3.3587 -1.9463 2.4950
Sb -6.1358 -3.2682 4.0125
Tl -1.9405 1.0355 2.0884
Au -5.1053 -0.7026 4.2576
```

***

Q | # TlSb2Au

A relaxed structure of TlSb2Au (PBE-GGA, Alexandria via LeMat-Bulk).

```
4
Lattice="5.1194 0.0000 0.0000 0.0000 3.2883 -0.0076 0.0000 0.0145 6.3093" Properties=species:S:1:pos:R:3 pbc="T T T"
Sb 2.5597 3.2917 1.6124
Sb 0.0000 0.0148 6.2221
Tl 0.0000 1.6508 3.2616
Au 2.5597 0.0114 4.6657
```

***

R | # TlSb2Au

A relaxed structure of TlSb2Au (PBE-GGA, Alexandria via LeMat-Bulk).

```
4
Lattice="-0.2156 1.3893 -4.2860 -4.4279 -0.8583 -0.0555 -0.9449 4.7711 1.5941" Properties=species:S:1:pos:R:3 pbc="T T T"
Tl -0.5802 3.0802 -1.3459
Sb 0.0000 0.0000 0.0000
Sb -2.3217 0.2655 -2.1707
Au -2.6864 1.9564 0.7693
```

***

Which of them is most stable, and which least? Most stable: P; least stable: R.